# KAgRu2, relaxed, DFT GGA-PBE
# Polymorph energy (0 for the lowest one) ... 167 kJ/mol of formula units
data_KAgRu2
_chemical_formula_sum 'K2 Ag2 Ru4'
_symmetry_space_group_name_H-M 'C m m m'
_symmetry_Int_Tables_number 65
_symmetry_space_group_name_Hall '-C 2 2'
_cell_length_a 2.819
_cell_length_b 4.722
_cell_length_c 10.711
_cell_angle_alpha 90.00
_cell_angle_beta 90.00
_cell_angle_gamma 90.00
loop_
_atom_site_label
_atom_site_fract_x
_atom_site_fract_y
_atom_site_fract_z
K1 0.000 0.000 0.000
Ag1 0.000 0.000 0.500
Ru1 0.000 0.500 0.270



# Pr12Sb3C5, relaxed, DFT GGA-PBE
# Uncorrected formation energy ... -285.2 meV per atom
data_Pr12Sb3C5
_chemical_formula_sum 'Pr96 Sb24 C40'
_symmetry_space_group_name_H-M 'I a -3 d'
_symmetry_Int_Tables_number 230
_symmetry_space_group_name_Hall '-I 4bd 2c 3'
_cell_length_a 16.586
_cell_length_b 16.586
_cell_length_c 16.586
_cell_angle_alpha 90.00
_cell_angle_beta 90.00
_cell_angle_gamma 90.00
loop_
_atom_site_label
_atom_site_fract_x
_atom_site_fract_y
_atom_site_fract_z
Pr1 0.034 0.053 0.648
Sb1 0.000 0.250 0.125
C1 0.000 0.000 0.000
C2 0.000 0.250 0.375



# La2Zn2Te, relaxed, DFT GGA-PBE
# Uncorrected formation energy ... -477.3 meV per atom
# Polymorph energy (0 for the lowest one) ... 42 kJ/mol of formula units
data_La2Zn2Te
_chemical_formula_sum 'La4 Zn4 Te2'
_symmetry_space_group_name_H-M 'P 4/m b m'
_symmetry_Int_Tables_number 127
_symmetry_space_group_name_Hall '-P 4 2ab'
_cell_length_a 8.585
_cell_length_b 8.585
_cell_length_c 4.131
_cell_angle_alpha 90.00
_cell_angle_beta 90.00
_cell_angle_gamma 90.00
loop_
_atom_site_label
_atom_site_fract_x
_atom_site_fract_y
_atom_site_fract_z
La1 0.182 0.318 0.000
Zn1 0.109 0.609 0.500
Te1 0.000 0.000 0.000



# Hf2MnIn2, relaxed, DFT GGA-PBE
# Raw total energy ... -6.639 eV per atom
data_Hf2MnIn2
_chemical_formula_sum 'Hf4 Mn2 In4'
_symmetry_space_group_name_H-M 'P 4/m b m'
_symmetry_Int_Tables_number 127
_symmetry_space_group_name_Hall '-P 4 2ab'
_cell_length_a 7.031
_cell_length_b 7.031
_cell_length_c 4.096
_cell_angle_alpha 90.00
_cell_angle_beta 90.00
_cell_angle_gamma 90.00
loop_
_atom_site_label
_atom_site_fract_x
_atom_site_fract_y
_atom_site_fract_z
Hf1 0.169 0.331 0.000
Mn1 0.000 0.000 0.500
In1 0.140 0.640 0.500



What did the first record say?
# KAgRu2, relaxed, DFT GGA-PBE
# Polymorph energy (0 for the lowest one) ... 167 kJ/mol of formula units
data_KAgRu2
_chemical_formula_sum 'K2 Ag2 Ru4'
_symmetry_space_group_name_H-M 'C m m m'
_symmetry_Int_Tables_number 65
_symmetry_space_group_name_Hall '-C 2 2'
_cell_length_a 2.819
_cell_length_b 4.722
_cell_length_c 10.711
_cell_angle_alpha 90.00
_cell_angle_beta 90.00
_cell_angle_gamma 90.00
loop_
_atom_site_label
_atom_site_fract_x
_atom_site_fract_y
_atom_site_fract_z
K1 0.000 0.000 0.000
Ag1 0.000 0.000 0.500
Ru1 0.000 0.500 0.270